The following is a PBE calculation of an optimized crystal structure of CdSn2H2, from the Alexandria database.

Properties
DOS(E_F): 1.88 states/eV/f.u.
Symmetry: No. 127
M_tot: 0.0000 μB/atom
Energy above the lowest structure with this stoichiometry: 1.229 eV per formula unit

Cell: 8.021 8.021 3.214 Å, 90.00 90.00 90.00°
Fractional coordinates of all 10 atoms:
H1 0.589 0.911 0.500
H2 0.411 0.089 0.500
H3 0.089 0.589 0.500
H4 0.911 0.411 0.500
Sn1 0.305 0.195 0.000
Sn2 0.805 0.305 0.000
Sn3 0.195 0.695 0.000
Sn4 0.695 0.805 0.000
Cd1 0.000 0.000 0.000
Cd2 0.500 0.500 0.000